Record 1
Density functional theory data (meta-GGA SCAN) for a PBEsol-optimized structure of K2TlPt.

Values from the calculation:
SG: Cm (8)
DFT formation energy, eV per atom: -0.18
Energy relative to the lowest polymorph listed for this composition, meV/atom: 0
Magnetic moment, Bohr magnetons per cell: 0.0

Lattice parameters (Å, degrees): 4.714 4.714 8.155 106.28 106.28 59.96
Positions (direct):
K: 0.000 0.000 0.000
K: 0.175 0.175 0.543
Tl: 0.754 0.754 0.272
Pt: 0.421 0.421 0.270



Record 2
Density functional theory data (meta-GGA SCAN) for a PBEsol-optimized structure of Be2CuP.

Values from the calculation:
SG: Cm (8)
DFT formation energy, eV per atom: 0.11
Magnetic moment, Bohr magnetons per cell: 0.0

Lattice parameters (Å, degrees): 3.991 3.991 3.673 100.91 100.91 48.39
Positions (direct):
Be: 0.000 0.000 0.000
Be: 0.741 0.741 0.199
Cu: 0.248 0.248 0.736
P: 0.475 0.475 0.390



Record 3
Density functional theory data (meta-GGA SCAN) for a PBEsol-optimized structure of Sb5Rh3.

Values from the calculation:
Uncorrected formation energy, meV/atom: 0
SG: Cmmm (65)
Magnetic moment, Bohr magnetons per cell: 0.0

Lattice parameters (Å, degrees): 6.396 6.396 4.312 90.00 90.00 110.43
Positions (direct):
Sb: 0.000 0.000 0.000
Sb: 0.000 0.500 0.000
Sb: 0.281 0.281 0.500
Sb: 0.500 0.000 0.000
Sb: 0.719 0.719 0.500
Rh: 0.306 0.694 0.500
Rh: 0.500 0.500 0.000
Rh: 0.694 0.306 0.500



Record 4
Density functional theory data (meta-GGA SCAN) for a PBEsol-optimized structure of La2MgAg.

Values from the calculation:
SG: P4/mmm (123)
DFT formation energy, eV per atom: -0.18
Magnetic moment, Bohr magnetons per cell: 0.5

Lattice parameters (Å, degrees): 5.339 5.339 3.927 90.00 90.00 90.00
Positions (direct):
La: 0.000 0.500 0.000
La: 0.500 0.000 0.000
Mg: 0.000 0.000 0.500
Ag: 0.500 0.500 0.500



Record 5
Density functional theory data (meta-GGA SCAN) for a PBEsol-optimized structure of CaTcW2.

Values from the calculation:
SG: Pmmm (47)
DFT formation energy, eV per atom: 0.86
Energy relative to the lowest polymorph listed for this composition, meV/atom: 117
Magnetic moment, Bohr magnetons per cell: 0.0

Lattice parameters (Å, degrees): 3.071 4.546 4.767 90.00 90.00 90.00
Positions (direct):
Ca: 0.000 0.000 0.000
Tc: 0.500 0.500 0.000
W: 0.000 0.500 0.500
W: 0.500 0.000 0.500



Record 6
Density functional theory data (meta-GGA SCAN) for a PBEsol-optimized structure of PRu3Pb.

Values from the calculation:
SG: Pm-3m (221)
DFT formation energy, eV per atom: 0.39
Energy relative to the lowest polymorph listed for this composition, meV/atom: 0
Magnetic moment, Bohr magnetons per cell: 0.0

Lattice parameters (Å, degrees): 4.352 4.352 4.352 90.00 90.00 90.00
Positions (direct):
P: 0.000 0.000 0.000
Ru: 0.000 0.000 0.500
Ru: 0.000 0.500 0.000
Ru: 0.500 0.000 0.000
Pb: 0.500 0.500 0.500



Question: The highest magnetic moment belongs to which entry?
Answer: La2MgAg



Repeat the third record exactly.
Density functional theory data (meta-GGA SCAN) for a PBEsol-optimized structure of Sb5Rh3.

Values from the calculation:
Uncorrected formation energy, meV/atom: 0
SG: Cmmm (65)
Magnetic moment, Bohr magnetons per cell: 0.0

Lattice parameters (Å, degrees): 6.396 6.396 4.312 90.00 90.00 110.43
Positions (direct):
Sb: 0.000 0.000 0.000
Sb: 0.000 0.500 0.000
Sb: 0.281 0.281 0.500
Sb: 0.500 0.000 0.000
Sb: 0.719 0.719 0.500
Rh: 0.306 0.694 0.500
Rh: 0.500 0.500 0.000
Rh: 0.694 0.306 0.500